Entry 1:
Compound: CsCd8Pb2
Source: Alexandria via LeMat-Bulk
Functional: PBE
Structure: relaxed

Lattice parameters (Å, degrees): 5.683 5.683 12.434 90.00 90.00 63.86
Sites, in units of the cell vectors:
Cs  0.000  0.000  0.000
Cd  0.000  0.500  0.500
Cd  0.500  0.000  0.500
Cd  0.500  0.500  0.343
Cd  0.500  0.500  0.657
Cd  0.000  0.500  0.224
Cd  0.500  0.000  0.224
Cd  0.000  0.500  0.776
Cd  0.500  0.000  0.776
Pb  0.000  0.000  0.364
Pb  0.000  0.000  0.636

Output
DFT formation energy, meV/atom: 34
Space group: Cmmm (65)

---

Entry 2:
Compound: CsCd4Pb2
Source: Alexandria via LeMat-Bulk
Functional: PBE
Structure: relaxed

Lattice parameters (Å, degrees): 4.870 4.891 9.548 104.84 90.00 90.00
Sites, in units of the cell vectors:
Cs  0.000  0.000  0.000
Pb  0.500  0.599  0.198
Pb  0.500  0.401  0.802
Cd  0.500  0.804  0.607
Cd  0.000  0.697  0.395
Cd  0.500  0.196  0.393
Cd  0.000  0.303  0.605

Output
DFT formation energy, meV/atom: -40
Space group: Cmmm (65)

---

Entry 3:
Compound: CsCd2Pb8
Source: Alexandria via LeMat-Bulk
Functional: PBE
Structure: relaxed

Lattice parameters (Å, degrees): 6.639 6.639 10.735 90.00 90.00 90.00
Sites, in units of the cell vectors:
Cs  0.500  0.500  0.500
Cd  0.500  0.000  0.000
Cd  0.000  0.500  0.000
Pb  0.752  0.752  0.188
Pb  0.752  0.248  0.812
Pb  0.752  0.752  0.812
Pb  0.752  0.248  0.188
Pb  0.248  0.752  0.188
Pb  0.248  0.752  0.812
Pb  0.248  0.248  0.188
Pb  0.248  0.248  0.812

Output
DFT formation energy, meV/atom: 136
Space group: P4/mmm (123)

---

Entry 4:
Compound: Cs2CdPb2
Source: Alexandria via LeMat-Bulk
Functional: PBE
Structure: relaxed

Lattice parameters (Å, degrees): 5.074 6.778 7.820 115.68 108.93 90.00
Sites, in units of the cell vectors:
Cs  0.798  0.298  0.596
Cs  0.202  0.702  0.404
Cd  0.000  0.000  0.000
Pb  0.500  0.745  0.000
Pb  0.500  0.255  0.000

Output
DFT formation energy, meV/atom: -99
Space group: Immm (71)
Polymorph energy (0 for the lowest one), meV per atom: 0

---

Entry 5:
Compound: CsCd3Pb4
Source: Alexandria via LeMat-Bulk
Functional: PBE
Structure: relaxed

Lattice parameters (Å, degrees): 5.392 5.392 9.300 90.00 90.00 90.00
Sites, in units of the cell vectors:
Cs  0.000  0.000  0.500
Pb  0.500  0.000  0.175
Pb  0.000  0.500  0.175
Pb  0.500  0.000  0.825
Pb  0.000  0.500  0.825
Cd  0.000  0.000  0.000
Cd  0.500  0.500  0.346
Cd  0.500  0.500  0.654

Output
DFT formation energy, meV/atom: -36
Space group: P4/mmm (123)

---

Entry 6:
Compound: CsCd3Pb2
Source: Alexandria via LeMat-Bulk
Functional: PBE
Structure: relaxed

Lattice parameters (Å, degrees): 5.071 9.546 10.598 55.33 76.16 74.60
Sites, in units of the cell vectors:
Cs  0.847  0.237  0.070
Cs  0.153  0.763  0.930
Cd  0.416  0.525  0.644
Cd  0.030  0.306  0.633
Cd  0.691  0.077  0.542
Cd  0.309  0.923  0.458
Cd  0.970  0.694  0.367
Cd  0.584  0.475  0.356
Pb  0.528  0.131  0.813
Pb  0.472  0.869  0.187
Pb  0.817  0.690  0.676
Pb  0.183  0.310  0.324

Output
DFT formation energy, meV/atom: -65
Space group: C2/m (12)

---

Entry 7:
Compound: Cs3CdPb
Source: Alexandria via LeMat-Bulk
Functional: PBE
Structure: relaxed

Lattice parameters (Å, degrees): 7.158 7.158 7.158 90.00 90.00 90.00
Sites, in units of the cell vectors:
Cs  0.000  0.500  0.000
Cs  0.000  0.000  0.500
Cs  0.500  0.000  0.000
Cd  0.000  0.000  0.000
Pb  0.500  0.500  0.500

Output
DFT formation energy, meV/atom: 235
Space group: Pm-3m (221)
Polymorph energy (0 for the lowest one), meV per atom: 100

---

Entry 8:
Compound: Cs2CdPb
Source: Alexandria via LeMat-Bulk
Functional: PBE
Structure: relaxed

Lattice parameters (Å, degrees): 6.491 6.491 6.491 60.00 60.00 60.00
Sites, in units of the cell vectors:
Pb  0.500  0.500  0.500
Cs  0.250  0.250  0.250
Cs  0.750  0.750  0.750
Cd  0.000  0.000  0.000

Output
DFT formation energy, meV/atom: 98
Space group: Fm-3m (225)

---

Entry 9:
Compound: CsCd2Pb4
Source: Alexandria via LeMat-Bulk
Functional: PBE
Structure: relaxed

Lattice parameters (Å, degrees): 5.165 9.676 9.676 90.00 90.00 90.00
Sites, in units of the cell vectors:
Cs  0.500  0.000  0.000
Cs  0.000  0.500  0.500
Cd  0.000  0.216  0.784
Cd  0.000  0.784  0.216
Cd  0.500  0.716  0.716
Cd  0.500  0.284  0.284
Pb  0.000  0.085  0.347
Pb  0.000  0.915  0.653
Pb  0.500  0.153  0.585
Pb  0.500  0.847  0.415
Pb  0.500  0.415  0.847
Pb  0.500  0.585  0.153
Pb  0.000  0.347  0.085
Pb  0.000  0.653  0.915

Output
DFT formation energy, meV/atom: -37
Space group: P4_2/mnm (136)
Polymorph energy (0 for the lowest one), meV per atom: 6

---

Entry 10:
Compound: Cs6CdPb2
Source: Alexandria via LeMat-Bulk
Functional: PBE
Structure: relaxed

Lattice parameters (Å, degrees): 6.996 7.012 12.731 105.76 90.00 119.92
Sites, in units of the cell vectors:
Cs  0.574  0.147  0.727
Cs  0.812  0.623  0.433
Cs  0.698  0.396  0.090
Cs  0.188  0.377  0.567
Cs  0.426  0.853  0.273
Cs  0.302  0.604  0.910
Cd  0.000  0.000  0.000
Pb  0.917  0.834  0.758
Pb  0.083  0.166  0.242

Output
DFT formation energy, meV/atom: -99
Space group: C2/m (12)

---

Entry 11:
Compound: Cs2Cd3Pb6
Source: Alexandria via LeMat-Bulk
Functional: PBE
Structure: relaxed

Lattice parameters (Å, degrees): 5.336 9.343 9.343 120.00 90.00 90.00
Sites, in units of the cell vectors:
Cs  0.000  0.667  0.333
Cs  0.000  0.333  0.667
Cd  0.500  0.392  0.392
Cd  0.500  0.608  0.000
Cd  0.500  0.000  0.608
Pb  0.500  0.729  0.729
Pb  0.500  0.000  0.271
Pb  0.000  0.198  0.198
Pb  0.000  0.802  0.000
Pb  0.500  0.271  0.000
Pb  0.000  0.000  0.802

Output
DFT formation energy, meV/atom: -47
Space group: P-62m (189)

---

Entry 12:
Compound: CsCd4Pb6
Source: Alexandria via LeMat-Bulk
Functional: PBE
Structure: relaxed

Lattice parameters (Å, degrees): 5.314 8.793 8.793 120.00 90.00 90.00
Sites, in units of the cell vectors:
Cs  0.000  0.000  0.000
Cd  0.500  0.787  0.575
Cd  0.500  0.425  0.213
Cd  0.500  0.787  0.213
Cd  0.000  0.333  0.667
Pb  0.000  0.534  0.067
Pb  0.500  0.591  0.795
Pb  0.000  0.534  0.466
Pb  0.000  0.933  0.466
Pb  0.500  0.205  0.795
Pb  0.500  0.205  0.409

Output
DFT formation energy, meV/atom: -22
Space group: P-6m2 (187)

---

Entry 13:
Compound: CsCd2Pb6
Source: Alexandria via LeMat-Bulk
Functional: PBE
Structure: relaxed

Lattice parameters (Å, degrees): 5.073 5.073 11.747 90.00 90.00 90.00
Sites, in units of the cell vectors:
Cs  0.000  0.000  0.000
Cd  0.500  0.500  0.125
Cd  0.500  0.500  0.875
Pb  0.000  0.500  0.292
Pb  0.500  0.000  0.292
Pb  0.000  0.500  0.708
Pb  0.500  0.000  0.708
Pb  0.500  0.500  0.500
Pb  0.000  0.000  0.500

Output
DFT formation energy, meV/atom: -33
Space group: P4/mmm (123)

---

Entry 14:
Compound: Cs3CdPb
Source: Alexandria via LeMat-Bulk
Functional: PBE
Structure: relaxed

Lattice parameters (Å, degrees): 7.548 7.548 7.548 90.00 90.00 90.00
Sites, in units of the cell vectors:
Pb  0.000  0.000  0.000
Cs  0.000  0.500  0.000
Cs  0.000  0.000  0.500
Cs  0.500  0.000  0.000
Cd  0.500  0.500  0.500

Output
DFT formation energy, meV/atom: 135
Space group: Pm-3m (221)
Polymorph energy (0 for the lowest one), meV per atom: 0

---

Entry 15:
Compound: CsCd2Pb4
Source: Alexandria via LeMat-Bulk
Functional: PBE
Structure: relaxed

Lattice parameters (Å, degrees): 5.187 5.471 9.034 107.62 90.00 90.00
Sites, in units of the cell vectors:
Cs  0.000  0.000  0.000
Pb  0.500  0.813  0.625
Pb  0.000  0.694  0.387
Pb  0.500  0.187  0.375
Pb  0.000  0.306  0.613
Cd  0.500  0.585  0.170
Cd  0.500  0.415  0.830

Output
DFT formation energy, meV/atom: -42
Space group: Cmmm (65)
Polymorph energy (0 for the lowest one), meV per atom: 0

---

Entry 16:
Compound: CsCd5Pb2
Source: Alexandria via LeMat-Bulk
Functional: PBE
Structure: relaxed

Lattice parameters (Å, degrees): 4.848 7.715 7.715 67.40 71.69 71.69
Sites, in units of the cell vectors:
Cs  0.000  0.000  0.000
Cd  0.000  0.500  0.500
Cd  0.628  0.553  0.191
Cd  0.372  0.447  0.809
Cd  0.372  0.809  0.447
Cd  0.628  0.191  0.553
Pb  0.749  0.751  0.751
Pb  0.251  0.249  0.249

Output
DFT formation energy, meV/atom: -31
Space group: Immm (71)

---

Entry 17:
Compound: Cs5Cd4Pb2
Source: Alexandria via LeMat-Bulk
Functional: PBE
Structure: relaxed

Lattice parameters (Å, degrees): 7.277 7.749 10.974 75.16 70.64 61.99
Sites, in units of the cell vectors:
Cs  0.177  0.280  0.868
Cs  0.823  0.720  0.132
Cs  0.000  0.500  0.500
Cs  0.675  0.280  0.868
Cs  0.325  0.720  0.132
Cd  0.303  0.920  0.473
Cd  0.697  0.080  0.527
Cd  0.702  0.818  0.778
Cd  0.298  0.182  0.222
Pb  0.220  0.806  0.754
Pb  0.780  0.194  0.246

Output
DFT formation energy, meV/atom: 61
Space group: C2/m (12)

---

Entry 18:
Compound: Cs2Cd2Pb
Source: Alexandria via LeMat-Bulk
Functional: PBE
Structure: relaxed

Lattice parameters (Å, degrees): 8.173 8.173 6.317 90.00 90.00 90.00
Sites, in units of the cell vectors:
Pb  0.000  0.000  0.000
Pb  0.500  0.500  0.000
Cs  0.179  0.679  0.500
Cs  0.679  0.821  0.500
Cs  0.821  0.321  0.500
Cs  0.321  0.179  0.500
Cd  0.365  0.865  0.000
Cd  0.865  0.635  0.000
Cd  0.635  0.135  0.000
Cd  0.135  0.365  0.000

Output
DFT formation energy, meV/atom: -38
Space group: P4/mbm (127)
Polymorph energy (0 for the lowest one), meV per atom: 81

---

Entry 19:
Compound: Cs2CdPb2
Source: Alexandria via LeMat-Bulk
Functional: PBE
Structure: relaxed

Lattice parameters (Å, degrees): 11.556 11.556 3.733 90.00 90.00 90.00
Sites, in units of the cell vectors:
Pb  0.090  0.590  0.500
Pb  0.590  0.910  0.500
Pb  0.910  0.410  0.500
Pb  0.410  0.090  0.500
Cs  0.296  0.796  0.000
Cs  0.796  0.704  0.000
Cs  0.704  0.204  0.000
Cs  0.204  0.296  0.000
Cd  0.000  0.000  0.000
Cd  0.500  0.500  0.000

Output
DFT formation energy, meV/atom: 86
Space group: P4/mbm (127)
Polymorph energy (0 for the lowest one), meV per atom: 184

---

Entry 20:
Compound: CsCd4Pb
Source: Alexandria via LeMat-Bulk
Functional: PBE
Structure: relaxed

Lattice parameters (Å, degrees): 6.351 6.351 6.351 60.00 60.00 60.00
Sites, in units of the cell vectors:
Pb  0.000  0.000  0.000
Cs  0.250  0.250  0.250
Cd  0.625  0.625  0.124
Cd  0.625  0.124  0.625
Cd  0.625  0.625  0.625
Cd  0.124  0.625  0.625

Output
DFT formation energy, meV/atom: 9
Space group: F-43m (216)

---

Entry 21:
Compound: Cs2CdPb7
Source: Alexandria via LeMat-Bulk
Functional: PBE
Structure: relaxed

Lattice parameters (Å, degrees): 5.310 5.310 13.753 90.00 90.00 90.00
Sites, in units of the cell vectors:
Cs  0.500  0.000  0.754
Cs  0.000  0.500  0.246
Cd  0.500  0.500  0.000
Pb  0.000  0.500  0.874
Pb  0.500  0.000  0.365
Pb  0.500  0.000  0.126
Pb  0.000  0.500  0.635
Pb  0.000  0.000  0.500
Pb  0.000  0.000  0.000
Pb  0.500  0.500  0.500

Output
DFT formation energy, meV/atom: -103
Space group: P-4m2 (115)